Record 1
Density functional theory data (PBE) for a relaxed structure of Tb3ErAu2.

a = 4.9870 Å, b = 7.0871 Å, c = 8.9865 Å
α = 90.00°, β = 90.00°, γ = 90.00°
Closest atoms and distances in Å follow each position.
Fractional coordinates of all 12 atoms:
1 Tb 0.0000 0.4888 0.9261  3 Au 2.95-3.14
2 Tb 0.0000 0.9888 0.0739  3 Au 2.95-3.14
3 Tb 0.5000 0.6504 0.1684  4 Au 2.92-3.07
4 Tb 0.5000 0.1504 0.8316  4 Au 2.92-3.07
5 Tb 0.0000 0.3496 0.3330  4 Au 2.92-3.07
6 Tb 0.0000 0.8496 0.6670  4 Au 2.92-3.07
7 Er 0.5000 0.5116 0.5731  3 Au 2.93-3.14
8 Er 0.5000 0.0116 0.4269  3 Au 2.93-3.14
9 Au 0.5000 0.7391 0.8457  6 Tb 2.92-3.14, 1 Er 2.93
10 Au 0.5000 0.2391 0.1543  6 Tb 2.92-3.14, 1 Er 2.93
11 Au 0.0000 0.2605 0.6513  5 Tb 2.92-3.07, 2 Er 3.14
12 Au 0.0000 0.7605 0.3487  5 Tb 2.92-3.07, 2 Er 3.14

## Properties
Energy of formation from the pure elements (meV/atom): -629
Space group: Pmc2_1
Final energy (Ry/atom): -0.35257

Record 2
Density functional theory data (PBE) for a relaxed structure of Ce4SiPb2.

a = 5.3271 Å, b = 6.4789 Å, c = 6.4794 Å
α = 107.38°, β = 90.00°, γ = 90.00°
Closest atoms and distances in Å follow each position.
Fractional coordinates of all 7 atoms:
1 Ce 0.5000 0.3192 0.3194  1 Ce 2.71, 2 Si 2.99
2 Ce 0.0000 0.6429 0.1430  2 Si 3.24, 4 Pb 3.32-3.33
3 Ce 0.5000 0.9663 0.9662  1 Ce 2.71, 2 Si 2.99
4 Ce 0.0000 0.1430 0.6430  2 Si 3.24, 4 Pb 3.33
5 Si 0.0000 0.1428 0.1428  8 Ce 2.99-3.24
6 Pb 0.5000 0.8416 0.4440  8 Ce 3.24-3.42
7 Pb 0.5000 0.4441 0.8418  8 Ce 3.24-3.42

## Properties
Energy relative to the elements, uncorrected (meV per atom): -294
Space group: Cmmm
Final energy (Ry/atom): -0.40567

Record 3
Density functional theory data (PBE) for a relaxed structure of LaMg5Au3.

a = 4.2653 Å, b = 7.5482 Å, c = 13.2182 Å
α = 90.00°, β = 90.00°, γ = 106.41°
Closest atoms and distances in Å follow each position.
Fractional coordinates of all 18 atoms:
1 La 0.8280 0.6560 0.7500  6 Au 3.34-3.49
2 La 0.1720 0.3440 0.2500  6 Au 3.34-3.49
3 Mg 0.8023 0.6046 0.4453  4 Au 2.69-2.91, 3 Mg 2.95-2.99
4 Mg 0.1977 0.3954 0.9453  4 Au 2.69-2.91, 3 Mg 2.95-2.99
5 Mg 0.0000 0.0000 0.5000  4 Au 2.86, 6 Mg 2.95-2.98
6 Mg 0.0000 0.0000 0.0000  4 Au 2.86, 6 Mg 2.95-2.98
7 Mg 0.4384 0.8768 0.1427  4 Au 2.77-2.87, 3 Mg 2.84-2.98
8 Mg 0.5616 0.1232 0.8573  4 Au 2.77-2.87, 3 Mg 2.84-2.98
9 Mg 0.5616 0.1232 0.6427  4 Au 2.77-2.87, 3 Mg 2.84-2.98
10 Mg 0.8023 0.6046 0.0547  4 Au 2.69-2.91, 3 Mg 2.95-2.99
11 Mg 0.1977 0.3954 0.5547  4 Au 2.69-2.91, 3 Mg 2.95-2.99
12 Mg 0.4384 0.8768 0.3573  4 Au 2.77-2.87, 3 Mg 2.84-2.98
13 Au 0.3834 0.7667 0.9343  7 Mg 2.69-2.91
14 Au 0.8624 0.7249 0.2500  6 Mg 2.72-2.79
15 Au 0.3834 0.7667 0.5657  7 Mg 2.69-2.91
16 Au 0.6166 0.2333 0.4343  7 Mg 2.69-2.91
17 Au 0.1376 0.2751 0.7500  6 Mg 2.72-2.79
18 Au 0.6166 0.2333 0.0657  7 Mg 2.69-2.91

## Properties
Energy of formation from the pure elements (meV/atom): -503
Space group: Cmcm
Final energy (Ry/atom): -0.22258

Record 4
Density functional theory data (PBE) for a relaxed structure of GeSbMoW.

a = 4.8394 Å, b = 3.2295 Å, c = 9.3660 Å
α = 90.00°, β = 108.21°, γ = 90.00°
Closest atoms and distances in Å follow each position.
Fractional coordinates of all 8 atoms:
1 Ge 0.5570 0.0000 0.3168  3 W 2.68-2.69, 4 Mo 2.84-2.99
2 Ge 0.5570 0.5000 0.8168  3 W 2.68-2.69, 4 Mo 2.84-2.99
3 Sb 0.1932 0.0000 0.5472  3 Mo 2.69-2.76, 4 W 2.84-2.98
4 Sb 0.1932 0.5000 0.0472  3 Mo 2.69-2.76, 4 W 2.84-2.98
5 Mo 0.0250 0.0000 0.7955  3 Sb 2.69-2.76, 2 W 2.83, 4 Ge 2.84-2.99
6 Mo 0.0250 0.5000 0.2955  3 Sb 2.69-2.76, 2 W 2.83, 4 Ge 2.84-2.99
7 W 0.6833 0.0000 0.0580  3 Ge 2.68-2.69, 2 Mo 2.83, 4 Sb 2.84-2.98
8 W 0.6833 0.5000 0.5580  3 Ge 2.68-2.69, 2 Mo 2.83, 4 Sb 2.84-2.98

## Properties
Energy relative to the elements, uncorrected (meV per atom): 270
Space group: Cm
Final energy (Ry/atom): -0.57779

Record 5
Density functional theory data (PBE) for a relaxed structure of Li3LaCl6.

a = 4.4589 Å, b = 7.7778 Å, c = 7.7778 Å
α = 113.67°, β = 90.00°, γ = 90.00°
Closest atoms and distances in Å follow each position.
Fractional coordinates of all 10 atoms:
1 Li 0.5000 0.5000 0.0000  6 Cl 2.54-2.78
2 Li 0.0000 0.0000 0.0000  4 Cl 2.41
3 Li 0.5000 0.0000 0.5000  6 Cl 2.54-2.78
4 La 0.0000 0.5000 0.5000  8 Cl 2.90-2.97
5 Cl 0.0000 0.0830 0.3337  1 Li 2.41
6 Cl 0.0000 0.9170 0.6663  1 Li 2.41
7 Cl 0.0000 0.3337 0.0830  1 Li 2.41
8 Cl 0.0000 0.6663 0.9170  1 Li 2.41
9 Cl 0.5000 0.6430 0.3570  2 Li 2.54
10 Cl 0.5000 0.3570 0.6430  2 Li 2.54

## Properties
Energy relative to the elements, uncorrected (meV per atom): -1944
Space group: Cmmm
Final energy (Ry/atom): -0.30271

Record 6
Density functional theory data (PBE) for a relaxed structure of Zr3Au5.

a = 8.2478 Å, b = 8.2477 Å, c = 5.7061 Å
α = 90.00°, β = 90.00°, γ = 60.00°
Closest atoms and distances in Å follow each position.
Fractional coordinates of all 16 atoms:
1 Au 0.6467 0.3533 0.2500  5 Zr 2.73-2.88, 4 Au 3.03
2 Au 0.3533 0.6467 0.7500  5 Zr 2.73-2.88, 4 Au 3.03
3 Au 0.3533 0.0000 0.2500  5 Zr 2.73-2.88, 4 Au 3.03
4 Au 0.0000 0.3533 0.7500  5 Zr 2.73-2.88, 4 Au 3.03
5 Au 0.6667 0.6667 0.0000  8 Au 2.85-3.03
6 Au 0.6667 0.6667 0.5000  8 Au 2.85-3.03
7 Au 0.3333 0.3333 0.0000  8 Au 2.85-3.03
8 Au 0.3333 0.3333 0.5000  8 Au 2.85-3.03
9 Au 0.6467 0.0000 0.7500  5 Zr 2.73-2.88, 4 Au 3.03
10 Au 0.0000 0.6467 0.2500  5 Zr 2.73-2.88, 4 Au 3.03
11 Zr 0.6971 0.3029 0.7500  5 Au 2.73-2.88
12 Zr 0.3029 0.6971 0.2500  5 Au 2.73-2.88
13 Zr 0.3029 0.0000 0.7500  5 Au 2.73-2.88
14 Zr 0.0000 0.3029 0.2500  5 Au 2.73-2.88
15 Zr 0.6971 0.0000 0.2500  5 Au 2.73-2.88
16 Zr 0.0000 0.6971 0.7500  5 Au 2.73-2.88

## Properties
Energy of formation from the pure elements (meV/atom): -364
Space group: P6_3/mcm
Final energy (Ry/atom): -0.41293

Record 7
Density functional theory data (PBE) for a relaxed structure of Ca5Ag2.

a = 6.8948 Å, b = 7.9903 Å, c = 9.2183 Å
α = 97.15°, β = 111.96°, γ = 90.00°
Closest atoms and distances in Å follow each position.
Fractional coordinates of all 14 atoms:
1 Ca 0.2055 0.4234 0.1835  2 Ag 3.08-3.11
2 Ca 0.0221 0.0766 0.8165  2 Ag 3.08-3.11
3 Ca 0.1967 0.6865 0.5605  3 Ag 3.14-3.29
4 Ca 0.6362 0.8135 0.4395  3 Ag 3.14-3.29
5 Ca 0.8033 0.3135 0.4395  3 Ag 3.14-3.29
6 Ca 0.3638 0.1865 0.5605  3 Ag 3.14-3.29
7 Ca 0.9779 0.9234 0.1835  2 Ag 3.08-3.11
8 Ca 0.7945 0.5766 0.8165  2 Ag 3.08-3.11
9 Ca 0.5880 0.2500 0.0000  4 Ag 3.11-3.16
10 Ca 0.4120 0.7500 0.0000  4 Ag 3.11-3.16
11 Ag 0.1901 0.4205 0.7821  7 Ca 3.08-3.29
12 Ag 0.4081 0.0795 0.2179  7 Ca 3.08-3.29
13 Ag 0.8099 0.5795 0.2179  7 Ca 3.08-3.29
14 Ag 0.5919 0.9205 0.7821  7 Ca 3.08-3.29

## Properties
Energy of formation from the pure elements (meV/atom): -215
Space group: C2/c
Final energy (Ry/atom): -0.18076

Record 8
Density functional theory data (PBE) for a relaxed structure of Rb12Pd3Au5.

a = 17.5371 Å, b = 17.5371 Å, c = 17.5371 Å
α = 109.47°, β = 109.47°, γ = 109.47°
Closest atoms and distances in Å follow each position.
Fractional coordinates of all 80 atoms:
1 Pd 0.7500 0.3750 0.1250  8 Rb 3.59-3.83
2 Pd 0.8750 0.7500 0.1250  8 Rb 3.59-3.83
3 Pd 0.3750 0.7500 0.6250  8 Rb 3.59-3.83
4 Pd 0.2500 0.1250 0.3750  8 Rb 3.59-3.83
5 Pd 0.8750 0.1250 0.2500  8 Rb 3.59-3.83
6 Pd 0.3750 0.6250 0.2500  8 Rb 3.59-3.83
7 Pd 0.6250 0.3750 0.7500  8 Rb 3.59-3.83
8 Pd 0.1250 0.8750 0.7500  8 Rb 3.59-3.83
9 Pd 0.7500 0.8750 0.6250  8 Rb 3.59-3.83
10 Pd 0.6250 0.2500 0.3750  8 Rb 3.59-3.83
11 Pd 0.1250 0.2500 0.8750  8 Rb 3.59-3.83
12 Pd 0.2500 0.6250 0.8750  8 Rb 3.59-3.83
13 Au 0.1250 0.3750 0.2500  4 Rb 3.28
14 Au 0.0000 0.5000 0.0000  6 Rb 3.49
15 Au 0.0000 0.0000 0.0000  6 Rb 3.49
16 Au 0.3750 0.2500 0.1250  4 Rb 3.28
17 Au 0.5000 0.0000 0.5000  6 Rb 3.49
18 Au 0.5000 0.5000 0.0000  6 Rb 3.49
19 Au 0.1250 0.7500 0.3750  4 Rb 3.28
20 Au 0.7500 0.1250 0.8750  4 Rb 3.28
21 Au 0.7500 0.6250 0.3750  4 Rb 3.28
22 Au 0.3750 0.1250 0.7500  4 Rb 3.28
23 Au 0.6250 0.8750 0.2500  4 Rb 3.28
24 Au 0.5000 0.5000 0.5000  6 Rb 3.49
25 Au 0.5000 0.0000 0.0000  6 Rb 3.49
26 Au 0.0000 0.0000 0.5000  6 Rb 3.49
27 Au 0.2500 0.3750 0.6250  4 Rb 3.28
28 Au 0.2500 0.8750 0.1250  4 Rb 3.28
29 Au 0.0000 0.5000 0.5000  6 Rb 3.49
30 Au 0.8750 0.2500 0.6250  4 Rb 3.28
31 Au 0.6250 0.7500 0.8750  4 Rb 3.28
32 Au 0.8750 0.6250 0.7500  4 Rb 3.28
33 Rb 0.7296 0.1348 0.0570  2 Au 3.28-3.49, 1 Pd 3.59
34 Rb 0.3274 0.5570 0.4222  2 Au 3.28-3.49, 1 Pd 3.59
35 Rb 0.9430 0.3652 0.2704  2 Au 3.28-3.49, 1 Pd 3.59
36 Rb 0.5570 0.2296 0.1348  2 Au 3.28-3.49, 1 Pd 3.59
37 Rb 0.5948 0.7296 0.6726  2 Au 3.28-3.49, 1 Pd 3.59
38 Rb 0.9430 0.5778 0.1726  2 Au 3.28-3.49, 1 Pd 3.59
39 Rb 0.3274 0.7704 0.4052  2 Au 3.28-3.49, 1 Pd 3.59
40 Rb 0.0778 0.9052 0.1348  2 Au 3.28-3.49, 1 Pd 3.59
41 Rb 0.5778 0.9430 0.6726  2 Au 3.28-3.49, 1 Pd 3.59
42 Rb 0.7296 0.5948 0.1726  2 Au 3.28-3.49, 1 Pd 3.59
43 Rb 0.7704 0.4430 0.3652  2 Au 3.28-3.49, 1 Pd 3.59
44 Rb 0.8274 0.9222 0.0570  2 Au 3.28-3.49, 1 Pd 3.59
45 Rb 0.1348 0.7296 0.5570  2 Au 3.28-3.49, 1 Pd 3.59
46 Rb 0.3652 0.4222 0.0948  2 Au 3.28-3.49, 1 Pd 3.59
47 Rb 0.0948 0.9222 0.3652  2 Au 3.28-3.49, 1 Pd 3.59
48 Rb 0.4052 0.1348 0.5778  2 Au 3.28-3.49, 1 Pd 3.59
49 Rb 0.0948 0.1726 0.2296  2 Au 3.28-3.49, 1 Pd 3.59
50 Rb 0.4430 0.6726 0.0778  2 Au 3.28-3.49, 1 Pd 3.59
51 Rb 0.8274 0.9052 0.2704  2 Au 3.28-3.49, 1 Pd 3.59
52 Rb 0.1348 0.4052 0.0778  2 Au 3.28-3.49, 1 Pd 3.59
53 Rb 0.3652 0.9430 0.7704  2 Au 3.28-3.49, 1 Pd 3.59
54 Rb 0.5778 0.6348 0.4052  2 Au 3.28-3.49, 1 Pd 3.59
55 Rb 0.9222 0.8274 0.5570  2 Au 3.28-3.49, 1 Pd 3.59
56 Rb 0.7704 0.3274 0.9052  2 Au 3.28-3.49, 1 Pd 3.59
57 Rb 0.4222 0.3652 0.5948  2 Au 3.28-3.49, 1 Pd 3.59
58 Rb 0.0778 0.1726 0.4430  2 Au 3.28-3.49, 1 Pd 3.59
59 Rb 0.2296 0.6726 0.0948  2 Au 3.28-3.49, 1 Pd 3.59
60 Rb 0.1726 0.0948 0.7296  2 Au 3.28-3.49, 1 Pd 3.59
61 Rb 0.6348 0.0570 0.2296  2 Au 3.28-3.49, 1 Pd 3.59
62 Rb 0.8652 0.5948 0.9222  2 Au 3.28-3.49, 1 Pd 3.59
63 Rb 0.5570 0.3274 0.9222  2 Au 3.28-3.49, 1 Pd 3.59
64 Rb 0.5948 0.8652 0.4222  2 Au 3.28-3.49, 1 Pd 3.59
65 Rb 0.9052 0.8274 0.7704  2 Au 3.28-3.49, 1 Pd 3.59
66 Rb 0.9052 0.0778 0.6348  2 Au 3.28-3.49, 1 Pd 3.59
67 Rb 0.8652 0.2704 0.4430  2 Au 3.28-3.49, 1 Pd 3.59
68 Rb 0.1726 0.0778 0.9430  2 Au 3.28-3.49, 1 Pd 3.59
69 Rb 0.6348 0.5778 0.9052  2 Au 3.28-3.49, 1 Pd 3.59
70 Rb 0.4222 0.0570 0.3274  2 Au 3.28-3.49, 1 Pd 3.59
71 Rb 0.2704 0.4052 0.8274  2 Au 3.28-3.49, 1 Pd 3.59
72 Rb 0.2296 0.5570 0.6348  2 Au 3.28-3.49, 1 Pd 3.59
73 Rb 0.9222 0.0948 0.8652  2 Au 3.28-3.49, 1 Pd 3.59
74 Rb 0.6726 0.2296 0.5948  2 Au 3.28-3.49, 1 Pd 3.59
75 Rb 0.4430 0.7704 0.8652  2 Au 3.28-3.49, 1 Pd 3.59
76 Rb 0.0570 0.4222 0.8274  2 Au 3.28-3.49, 1 Pd 3.59
77 Rb 0.4052 0.2704 0.3274  2 Au 3.28-3.49, 1 Pd 3.59
78 Rb 0.0570 0.6348 0.7296  2 Au 3.28-3.49, 1 Pd 3.59
79 Rb 0.6726 0.4430 0.5778  2 Au 3.28-3.49, 1 Pd 3.59
80 Rb 0.2704 0.8652 0.9430  2 Au 3.28-3.49, 1 Pd 3.59

## Properties
Energy of formation from the pure elements (meV/atom): -10
Space group: Ia-3d
Final energy (Ry/atom): -0.16085

Record 9
Density functional theory data (PBE) for a relaxed structure of Ba2MgAl12Pd3.

a = 8.1519 Å, b = 8.1519 Å, c = 8.1519 Å
α = 70.65°, β = 70.65°, γ = 70.65°
Closest atoms and distances in Å follow each position.
Fractional coordinates of all 18 atoms:
1 Ba 0.6022 0.6022 0.6022  3 Al 3.31
2 Ba 0.3978 0.3978 0.3978  3 Al 3.31
3 Mg 0.0000 0.0000 0.0000  12 Al 2.68-2.92
4 Al 0.2366 0.2366 0.9022  2 Pd 2.52
5 Al 0.8706 0.8706 0.3522  1 Pd 2.47, 1 Mg 2.68
6 Al 0.3522 0.8706 0.8706  1 Pd 2.47, 1 Mg 2.68
7 Al 0.9022 0.2366 0.2366  2 Pd 2.52
8 Al 0.8706 0.3522 0.8706  1 Pd 2.47, 1 Mg 2.68
9 Al 0.2366 0.9022 0.2366  2 Pd 2.52
10 Al 0.7634 0.7634 0.0978  2 Pd 2.52
11 Al 0.1294 0.1294 0.6478  1 Pd 2.47, 1 Mg 2.68
12 Al 0.6478 0.1294 0.1294  1 Pd 2.47, 1 Mg 2.68
13 Al 0.0978 0.7634 0.7634  2 Pd 2.52
14 Al 0.1294 0.6478 0.1294  1 Pd 2.47, 1 Mg 2.68
15 Al 0.7634 0.0978 0.7634  2 Pd 2.52
16 Pd 0.5000 0.0000 0.0000  6 Al 2.47-2.52
17 Pd 0.0000 0.5000 0.0000  6 Al 2.47-2.52
18 Pd 0.0000 0.0000 0.5000  6 Al 2.47-2.52

## Properties
Energy of formation from the pure elements (meV/atom): -24
Space group: R-3m
Final energy (Ry/atom): -0.27097

Record 10
Density functional theory data (PBE) for a relaxed structure of Ba2LaSc.

a = 5.4122 Å, b = 5.4122 Å, c = 5.7023 Å
α = 90.00°, β = 90.00°, γ = 90.00°
Closest atoms and distances in Å follow each position.
Fractional coordinates of all 4 atoms:
1 Ba 0.0000 0.0000 0.0000  4 Ba 3.83, 4 La 3.93, 4 Sc 3.93
2 Ba 0.5000 0.5000 0.0000  4 Ba 3.83, 4 La 3.93, 4 Sc 3.93
3 La 0.5000 0.0000 0.5000  4 Sc 3.83, 8 Ba 3.93
4 Sc 0.0000 0.5000 0.5000  4 La 3.83, 8 Ba 3.93

## Properties
Energy of formation from the pure elements (meV/atom): 346
Space group: P4/mmm
Final energy (Ry/atom): -0.25212